A plane-wave DFT calculation with PBE+U was carried out for KMnHg2F8 after structural relaxation.

Calculated values
- electronic total energy (eV/f.u.) = -48.31

a b c (Å): 5.085 5.456 7.395
angles (deg): 94.97 91.47 90.33
Element x y z (fractional)
K 0.000 0.000 0.500
Mn 0.000 0.000 0.000
Hg 0.524 0.517 0.758
Hg 0.476 0.483 0.242
F 0.147 0.810 0.177
F 0.662 0.741 0.991
F 0.870 0.212 0.194
F 0.853 0.190 0.823
F 0.338 0.259 0.009
F 0.130 0.788 0.806
F 0.582 0.729 0.469
F 0.418 0.271 0.531